1.
The following is a GGA-PBE calculation of a relaxed Rb3U2VS6 crystal, from Alexandria.

ΔE_f (raw): -1238 meV/atom
DFT total energy: -6.184 eV per atom

abc: 6.861 6.861 8.042
angles: 98.19 98.19 120.00
Positions (direct):
Rb 0.000 0.000 0.000
Rb 0.332 0.668 0.000
Rb 0.668 0.332 0.000
U 0.166 0.834 0.500
U 0.834 0.166 0.500
V 0.500 0.500 0.500
S 0.121 0.437 0.312
S 0.246 0.246 0.688
S 0.437 0.121 0.312
S 0.563 0.879 0.688
S 0.754 0.754 0.312
S 0.879 0.563 0.688

---

2.
The following is a GGA-PBE calculation of a relaxed RbUVS4 crystal, from Alexandria.

ΔE_f (raw): -1180 meV/atom
DFT total energy: -6.592 eV per atom

abc: 6.495 6.509 9.198
angles: 90.00 108.48 90.00
Positions (direct):
Rb 0.228 0.250 0.438
Rb 0.772 0.750 0.562
U 0.274 0.250 0.949
U 0.726 0.750 0.051
V 0.275 0.750 0.164
V 0.725 0.250 0.836
S 0.059 0.750 0.925
S 0.066 0.750 0.317
S 0.486 0.509 0.803
S 0.486 0.991 0.803
S 0.514 0.009 0.197
S 0.514 0.491 0.197
S 0.934 0.250 0.683
S 0.941 0.250 0.075

---

3.
The following is a GGA-PBE calculation of a relaxed Rb3YU3S8 crystal, from Alexandria.

ΔE_f (raw): -1517 meV/atom
DFT total energy: -6.601 eV per atom

abc: 9.122 9.122 9.122
angles: 52.60 52.60 52.60
Positions (direct):
Rb 0.000 0.500 0.500
Rb 0.500 0.000 0.500
Rb 0.500 0.500 0.000
Y 0.500 0.500 0.500
U 0.000 0.000 0.500
U 0.000 0.500 0.000
U 0.500 0.000 0.000
S 0.228 0.730 0.730
S 0.231 0.231 0.231
S 0.270 0.270 0.772
S 0.270 0.772 0.270
S 0.730 0.228 0.730
S 0.730 0.730 0.228
S 0.769 0.769 0.769
S 0.772 0.270 0.270

---

4.
The following is a GGA-PBE calculation of a relaxed Rb4YU3S8 crystal, from Alexandria.

ΔE_f (raw): -1467 meV/atom
DFT total energy: -6.294 eV per atom

abc: 9.057 9.057 9.057
angles: 53.51 53.51 53.51
Positions (direct):
Rb 0.000 0.000 0.000
Rb 0.000 0.500 0.500
Rb 0.500 0.000 0.500
Rb 0.500 0.500 0.000
Y 0.500 0.500 0.500
U 0.000 0.000 0.500
U 0.000 0.500 0.000
U 0.500 0.000 0.000
S 0.231 0.231 0.231
S 0.232 0.731 0.731
S 0.269 0.269 0.768
S 0.269 0.768 0.269
S 0.731 0.232 0.731
S 0.731 0.731 0.232
S 0.768 0.269 0.269
S 0.769 0.769 0.769

---

5.
The following is a GGA-PBE calculation of a relaxed Rb3YU2S6 crystal, from Alexandria.

ΔE_f (raw): -1509 meV/atom
DFT total energy: -6.234 eV per atom

abc: 7.068 7.068 8.081
angles: 98.38 98.38 120.00
Positions (direct):
Rb 0.000 0.000 0.000
Rb 0.334 0.666 0.000
Rb 0.666 0.334 0.000
Y 0.500 0.500 0.500
U 0.167 0.833 0.500
U 0.833 0.167 0.500
S 0.101 0.435 0.307
S 0.230 0.230 0.693
S 0.435 0.101 0.307
S 0.565 0.899 0.693
S 0.770 0.770 0.307
S 0.899 0.565 0.693

---

6.
The following is a GGA-PBE calculation of a relaxed Rb2YUS4 crystal, from Alexandria.

ΔE_f (raw): -1587 meV/atom
DFT total energy: -6.111 eV per atom

abc: 7.076 4.089 8.067
angles: 90.00 107.03 90.00
Positions (direct):
Rb 0.000 0.000 0.000
Rb 0.500 0.500 0.000
Y 0.000 0.500 0.500
U 0.500 0.000 0.500
S 0.231 0.000 0.693
S 0.269 0.500 0.307
S 0.731 0.500 0.693
S 0.769 0.000 0.307

---

7.
The following is a GGA-PBE calculation of a relaxed Rb3Y3US8 crystal, from Alexandria.

ΔE_f (raw): -1774 meV/atom
DFT total energy: -6.214 eV per atom

abc: 9.111 9.111 9.111
angles: 52.77 52.77 52.77
Positions (direct):
Rb 0.000 0.500 0.500
Rb 0.500 0.000 0.500
Rb 0.500 0.500 0.000
Y 0.000 0.000 0.500
Y 0.000 0.500 0.000
Y 0.500 0.000 0.000
U 0.500 0.500 0.500
S 0.230 0.230 0.230
S 0.235 0.726 0.726
S 0.274 0.274 0.765
S 0.274 0.765 0.274
S 0.726 0.235 0.726
S 0.726 0.726 0.235
S 0.765 0.274 0.274
S 0.770 0.770 0.770

---

8.
The following is a GGA-PBE calculation of a relaxed Rb2Y2US6 crystal, from Alexandria.

ΔE_f (raw): -1744 meV/atom
DFT total energy: -6.372 eV per atom

abc: 6.985 6.985 8.210
angles: 98.28 98.28 119.95
Positions (direct):
Rb 0.169 0.831 0.000
Rb 0.831 0.169 0.000
Y 0.334 0.666 0.500
Y 0.666 0.334 0.500
U 0.000 0.000 0.500
S 0.061 0.391 0.686
S 0.263 0.263 0.314
S 0.391 0.061 0.686
S 0.609 0.939 0.314
S 0.737 0.737 0.686
S 0.939 0.609 0.314

---

9.
The following is a GGA-PBE calculation of a relaxed Rb2UZnS5 crystal, from Alexandria.

ΔE_f (raw): -1084 meV/atom
DFT total energy: -4.988 eV per atom

abc: 9.900 9.900 14.066
angles: 90.00 90.00 156.55
Positions (direct):
Rb 0.109 0.891 0.500
Rb 0.124 0.876 0.139
Rb 0.876 0.124 0.639
Rb 0.891 0.109 0.000
U 0.206 0.794 0.840
U 0.794 0.206 0.340
Zn 0.427 0.573 0.254
Zn 0.573 0.427 0.754
S 0.073 0.927 0.852
S 0.291 0.709 0.460
S 0.302 0.698 0.217
S 0.330 0.670 0.825
S 0.491 0.509 0.123
S 0.509 0.491 0.623
S 0.670 0.330 0.325
S 0.698 0.302 0.717
S 0.709 0.291 0.960
S 0.927 0.073 0.352

---

10.
The following is a GGA-PBE calculation of a relaxed RbUZnS4 crystal, from Alexandria.

ΔE_f (raw): -1104 meV/atom
DFT total energy: -5.396 eV per atom

abc: 6.396 6.726 8.653
angles: 90.00 95.96 90.00
Positions (direct):
Rb 0.221 0.250 0.056
Rb 0.779 0.750 0.944
U 0.188 0.750 0.450
U 0.812 0.250 0.550
Zn 0.340 0.250 0.657
Zn 0.660 0.750 0.343
S 0.096 0.508 0.689
S 0.096 0.992 0.689
S 0.350 0.750 0.184
S 0.440 0.250 0.409
S 0.560 0.750 0.591
S 0.650 0.250 0.816
S 0.904 0.008 0.311
S 0.904 0.492 0.311

---

11.
The following is a GGA-PBE calculation of a relaxed Rb2UZn2S6 crystal, from Alexandria.

ΔE_f (raw): -972 meV/atom
DFT total energy: -4.657 eV per atom

abc: 8.073 8.073 8.073
angles: 54.26 54.26 54.26
Positions (direct):
Rb 0.219 0.219 0.219
Rb 0.781 0.781 0.781
U 0.000 0.000 0.000
Zn 0.403 0.403 0.403
Zn 0.597 0.597 0.597
S 0.235 0.235 0.761
S 0.235 0.761 0.235
S 0.239 0.765 0.765
S 0.761 0.235 0.235
S 0.765 0.239 0.765
S 0.765 0.765 0.239

---

12.
The following is a GGA-PBE calculation of a relaxed Rb3UZn2S6 crystal, from Alexandria.

ΔE_f (raw): -1049 meV/atom
DFT total energy: -4.508 eV per atom

abc: 7.431 7.431 8.608
angles: 90.00 90.00 120.00
Positions (direct):
Rb 0.000 0.000 0.000
Rb 0.333 0.667 0.700
Rb 0.667 0.333 0.300
U 0.000 0.000 0.500
Zn 0.333 0.667 0.309
Zn 0.667 0.333 0.691
S 0.160 0.319 0.309
S 0.160 0.840 0.309
S 0.319 0.160 0.691
S 0.681 0.840 0.309
S 0.840 0.160 0.691
S 0.840 0.681 0.691

---

13.
The following is a GGA-PBE calculation of a relaxed Rb2U3ZnS8 crystal, from Alexandria.

ΔE_f (raw): -1269 meV/atom
DFT total energy: -6.276 eV per atom

abc: 9.383 9.383 9.383
angles: 50.52 50.52 50.52
Positions (direct):
Rb 0.000 0.000 0.000
Rb 0.356 0.356 0.356
U 0.495 0.999 0.999
U 0.999 0.495 0.999
U 0.999 0.999 0.495
Zn 0.552 0.552 0.552
S 0.223 0.223 0.223
S 0.226 0.727 0.727
S 0.260 0.260 0.799
S 0.260 0.799 0.260
S 0.727 0.226 0.727
S 0.727 0.727 0.226
S 0.775 0.775 0.775
S 0.799 0.260 0.260

---

14.
The following is a GGA-PBE calculation of a relaxed Rb4U3ZnS8 crystal, from Alexandria.

ΔE_f (raw): -1221 meV/atom
DFT total energy: -5.723 eV per atom

abc: 8.986 8.986 8.986
angles: 53.71 53.71 53.71
Positions (direct):
Rb 0.000 0.000 0.000
Rb 0.000 0.500 0.500
Rb 0.500 0.000 0.500
Rb 0.500 0.500 0.000
U 0.000 0.000 0.500
U 0.000 0.500 0.000
U 0.500 0.000 0.000
Zn 0.500 0.500 0.500
S 0.232 0.232 0.232
S 0.233 0.727 0.727
S 0.273 0.273 0.767
S 0.273 0.767 0.273
S 0.727 0.233 0.727
S 0.727 0.727 0.233
S 0.767 0.273 0.273
S 0.768 0.768 0.768

---

15.
The following is a GGA-PBE calculation of a relaxed Rb3ZrU2S6 crystal, from Alexandria.

ΔE_f (raw): -1383 meV/atom
DFT total energy: -6.283 eV per atom

abc: 6.886 6.886 8.103
angles: 98.15 98.15 120.00
Positions (direct):
Rb 0.000 0.000 0.000
Rb 0.333 0.667 0.000
Rb 0.667 0.333 0.000
Zr 0.500 0.500 0.500
U 0.167 0.833 0.500
U 0.833 0.167 0.500
S 0.113 0.436 0.307
S 0.242 0.242 0.694
S 0.436 0.113 0.307
S 0.564 0.887 0.693
S 0.758 0.758 0.306
S 0.887 0.564 0.693

---

16.
The following is a GGA-PBE calculation of a relaxed Rb2ZrU2S6 crystal, from Alexandria.

ΔE_f (raw): -1459 meV/atom
DFT total energy: -6.716 eV per atom

abc: 6.760 6.760 8.263
angles: 97.84 97.84 119.69
Positions (direct):
Rb 0.167 0.833 0.000
Rb 0.833 0.167 0.000
Zr 0.000 0.000 0.500
U 0.334 0.666 0.500
U 0.666 0.334 0.500
S 0.063 0.385 0.688
S 0.259 0.259 0.312
S 0.385 0.063 0.688
S 0.615 0.937 0.312
S 0.741 0.741 0.688
S 0.937 0.615 0.312

---

17.
The following is a GGA-PBE calculation of a relaxed Rb3Zr3US8 crystal, from Alexandria.

ΔE_f (raw): -1494 meV/atom
DFT total energy: -6.351 eV per atom

abc: 7.562 7.562 9.034
angles: 114.70 114.70 60.03
Positions (direct):
Rb 0.000 0.000 0.000
Rb 0.000 0.500 0.000
Rb 0.500 0.000 0.000
Zr 0.000 0.500 0.500
Zr 0.500 0.000 0.500
Zr 0.500 0.500 0.500
U 0.000 0.000 0.500
S 0.236 0.236 0.691
S 0.236 0.720 0.691
S 0.270 0.270 0.311
S 0.280 0.764 0.309
S 0.720 0.236 0.691
S 0.730 0.730 0.689
S 0.764 0.280 0.309
S 0.764 0.764 0.309

---

18.
The following is a GGA-PBE calculation of a relaxed RbV2S3 crystal, from Alexandria.

ΔE_f (raw): -991 meV/atom
DFT total energy: -6.255 eV per atom

abc: 7.761 7.761 9.282
angles: 90.00 90.00 152.14
Positions (direct):
Rb 0.248 0.752 0.750
Rb 0.752 0.248 0.250
V 0.023 0.977 0.250
V 0.500 0.500 0.000
V 0.500 0.500 0.500
V 0.977 0.023 0.750
S 0.106 0.894 0.049
S 0.106 0.894 0.451
S 0.437 0.563 0.250
S 0.563 0.437 0.750
S 0.894 0.106 0.549
S 0.894 0.106 0.951

---

19.
The following is a GGA-PBE calculation of a relaxed RbV6S12 crystal, from Alexandria.

ΔE_f (raw): -582 meV/atom
DFT total energy: -6.119 eV per atom

abc: 7.325 7.325 7.325
angles: 104.65 104.65 104.65
Positions (direct):
Rb 0.000 0.000 0.000
V 0.252 0.252 0.632
V 0.252 0.632 0.252
V 0.368 0.748 0.748
V 0.632 0.252 0.252
V 0.748 0.368 0.748
V 0.748 0.748 0.368
S 0.121 0.500 0.879
S 0.121 0.879 0.500
S 0.174 0.456 0.456
S 0.456 0.174 0.456
S 0.456 0.456 0.174
S 0.500 0.121 0.879
S 0.500 0.879 0.121
S 0.544 0.544 0.826
S 0.544 0.826 0.544
S 0.826 0.544 0.544
S 0.879 0.121 0.500
S 0.879 0.500 0.121